Entry from Alexandria via LeMat-Bulk: a relaxed LiCeSm2 crystal (PBE).

abc: 5.7037 5.7037 3.5460
angles: 90.00 90.00 90.00
Element x y z (fractional)
Li1 0.0000 0.0000 0.0000
Ce1 0.5000 0.5000 0.0000
Sm1 0.0000 0.5000 0.5000
Sm2 0.5000 0.0000 0.5000

Results
M_tot	0.40	Bohr magnetons per cell
ΔH_f (0 K)	169	meV/atom
energy	-0.153	hartree per atom
space-group type	P4/mmm, No. 123
V	28.84	Å³/atom


Entry from Alexandria via LeMat-Bulk: a relaxed SrLiMgCo2 crystal (PBE).

abc: 4.8465 4.8465 4.8053
angles: 90.00 90.00 90.00
Element x y z (fractional)
Sr1 0.0000 0.0000 0.0000
Li1 0.0000 0.0000 0.5000
Mg1 0.5000 0.5000 0.5000
Co1 0.0000 0.5000 0.0000
Co2 0.5000 0.0000 0.0000

Results
M_tot	2.03	Bohr magnetons per cell
ΔH_f (0 K)	1447	meV/atom
energy	-0.089	hartree per atom
space-group type	P4/mmm, No. 123
V	22.57	Å³/atom